Entry 1:
First-principles (PBE-GGA) data for a relaxed Tb3Cd3GaAg2 crystal, as listed in OQMD via LeMat-Bulk.

Output
Theoretical density: 8.760 g/cm3
Volume: 208.4 Å³ per cell
Magnetization: 0.00 μB/atom
Total DFT energy (no corrections): -3.18 eV/atom

Unit cell a=7.524 b=7.524 c=4.250 alpha=90.00 beta=90.00 gamma=120.00
Sites, in units of the cell vectors:
Tb: 0.000 0.587 0.000
Tb: 0.413 0.413 0.000
Tb: 0.587 0.000 0.000
Cd: 0.000 0.246 0.500
Cd: 0.246 0.000 0.500
Cd: 0.754 0.754 0.500
Ga: 0.000 0.000 0.000
Ag: 0.333 0.667 0.500
Ag: 0.667 0.333 0.500

Entry 2:
First-principles (PBE-GGA) data for a relaxed Tb3Cd3Ga2Ag crystal, as listed in OQMD via LeMat-Bulk.

Output
Theoretical density: 8.605 g/cm3
Volume: 204.8 Å³ per cell
Magnetization: 0.00 μB/atom
Total DFT energy (no corrections): -3.32 eV/atom

Unit cell a=7.366 b=7.366 c=4.359 alpha=90.00 beta=90.00 gamma=120.00
Sites, in units of the cell vectors:
Tb: 0.000 0.581 0.000
Tb: 0.419 0.419 0.000
Tb: 0.581 0.000 0.000
Cd: 0.000 0.252 0.500
Cd: 0.252 0.000 0.500
Cd: 0.748 0.748 0.500
Ga: 0.333 0.667 0.500
Ga: 0.667 0.333 0.500
Ag: 0.000 0.000 0.000

Entry 3:
First-principles (PBE-GGA) data for a relaxed Y3Cd3Ga2Ag crystal, as listed in OQMD via LeMat-Bulk.

Output
Theoretical density: 6.956 g/cm3
Volume: 203.2 Å³ per cell
Magnetization: 0.00 μB/atom
Total DFT energy (no corrections): -3.94 eV/atom

Unit cell a=7.516 b=7.516 c=4.154 alpha=90.00 beta=90.00 gamma=120.00
Sites, in units of the cell vectors:
Y: 0.000 0.586 0.000
Y: 0.414 0.414 0.000
Y: 0.586 0.000 0.000
Cd: 0.000 0.258 0.500
Cd: 0.258 0.000 0.500
Cd: 0.742 0.742 0.500
Ga: 0.333 0.667 0.500
Ga: 0.667 0.333 0.500
Ag: 0.000 0.000 0.000

Entry 4:
First-principles (PBE-GGA) data for a relaxed GdCdAg4 crystal, as listed in OQMD via LeMat-Bulk.

Output
Theoretical density: 9.402 g/cm3
Volume: 123.8 Å³ per cell
Formation energy from the elements: -5.09 kcal/mol of atoms
Magnetization: 0.00 μB/atom
Total DFT energy (no corrections): -3.03 eV/atom

Unit cell a=5.595 b=5.595 c=5.595 alpha=60.00 beta=60.00 gamma=60.00
Sites, in units of the cell vectors:
Gd: 0.000 0.000 0.000
Cd: 0.250 0.250 0.250
Ag: 0.126 0.625 0.625
Ag: 0.625 0.126 0.625
Ag: 0.625 0.625 0.126
Ag: 0.625 0.625 0.625

Entry 5:
First-principles (PBE-GGA) data for a relaxed Gd2HoCd3Ag3 crystal, as listed in OQMD via LeMat-Bulk.

Output
Theoretical density: 8.999 g/cm3
Volume: 210.4 Å³ per cell
Formation energy from the elements: -7.81 kcal/mol of atoms
Magnetization: 0.00 μB/atom
Total DFT energy (no corrections): -3.12 eV/atom

Unit cell a=3.929 b=7.859 c=7.859 alpha=119.90 beta=90.00 gamma=90.00
Sites, in units of the cell vectors:
Gd: 0.000 0.203 0.797
Gd: 0.000 0.797 0.203
Ho: 0.000 0.392 0.392
Cd: 0.500 0.060 0.060
Cd: 0.500 0.535 0.797
Cd: 0.500 0.797 0.535
Ag: 0.000 0.796 0.796
Ag: 0.500 0.133 0.463
Ag: 0.500 0.463 0.133

Entry 6:
First-principles (PBE-GGA) data for a relaxed GdHo2Cd3Ag3 crystal, as listed in OQMD via LeMat-Bulk.

Output
Theoretical density: 9.142 g/cm3
Volume: 208.5 Å³ per cell
Formation energy from the elements: -7.74 kcal/mol of atoms
Magnetization: 0.00 μB/atom
Total DFT energy (no corrections): -3.11 eV/atom

Unit cell a=3.911 b=7.851 c=7.851 alpha=120.12 beta=90.00 gamma=90.00
Sites, in units of the cell vectors:
Gd: 0.000 0.000 0.000
Ho: 0.000 0.405 0.810
Ho: 0.000 0.810 0.405
Cd: 0.500 0.142 0.406
Cd: 0.500 0.406 0.142
Cd: 0.500 0.667 0.667
Ag: 0.000 0.406 0.406
Ag: 0.500 0.072 0.736
Ag: 0.500 0.736 0.072

Entry 7:
First-principles (PBE-GGA) data for a relaxed GdHoCd2Ag4 crystal, as listed in OQMD via LeMat-Bulk.

Output
Theoretical density: 9.485 g/cm3
Volume: 171.3 Å³ per cell
Formation energy from the elements: -6.81 kcal/mol of atoms
Magnetization: 0.00 μB/atom
Total DFT energy (no corrections): -3.09 eV/atom

Unit cell a=4.949 b=4.949 c=6.994 alpha=90.00 beta=90.00 gamma=90.00
Sites, in units of the cell vectors:
Gd: 0.000 0.000 0.000
Ho: 0.500 0.500 0.500
Cd: 0.000 0.000 0.500
Cd: 0.500 0.500 0.000
Ag: 0.000 0.500 0.253
Ag: 0.000 0.500 0.747
Ag: 0.500 0.000 0.253
Ag: 0.500 0.000 0.747

Entry 8:
First-principles (PBE-GGA) data for a relaxed LaGdCd2Ag4 crystal, as listed in OQMD via LeMat-Bulk.

Output
Theoretical density: 8.701 g/cm3
Volume: 181.8 Å³ per cell
Formation energy from the elements: -6.65 kcal/mol of atoms
Magnetization: 0.00 μB/atom
Total DFT energy (no corrections): -3.12 eV/atom

Unit cell a=5.051 b=5.051 c=7.125 alpha=90.00 beta=90.00 gamma=90.00
Sites, in units of the cell vectors:
La: 0.000 0.000 0.000
Gd: 0.500 0.500 0.500
Cd: 0.000 0.000 0.500
Cd: 0.500 0.500 0.000
Ag: 0.000 0.500 0.262
Ag: 0.000 0.500 0.738
Ag: 0.500 0.000 0.262
Ag: 0.500 0.000 0.738

Entry 9:
First-principles (PBE-GGA) data for a relaxed GdMgCdAg crystal, as listed in OQMD via LeMat-Bulk.

Output
Theoretical density: 7.388 g/cm3
Volume: 361.2 Å³ per cell
Magnetization: 0.00 μB/atom
Total DFT energy (no corrections): -2.80 eV/atom

Unit cell a=7.122 b=7.122 c=7.122 alpha=90.00 beta=90.00 gamma=90.00
Sites, in units of the cell vectors:
Gd: 0.000 0.000 0.000
Gd: 0.000 0.500 0.500
Gd: 0.500 0.000 0.500
Gd: 0.500 0.500 0.000
Mg: 0.000 0.000 0.500
Mg: 0.000 0.500 0.000
Mg: 0.500 0.000 0.000
Mg: 0.500 0.500 0.500
Cd: 0.250 0.250 0.250
Cd: 0.250 0.750 0.750
Cd: 0.750 0.250 0.750
Cd: 0.750 0.750 0.250
Ag: 0.250 0.250 0.750
Ag: 0.250 0.750 0.250
Ag: 0.750 0.250 0.250
Ag: 0.750 0.750 0.750

Entry 10:
First-principles (PBE-GGA) data for a relaxed Gd3Mg2CdAgPt2 crystal, as listed in OQMD via LeMat-Bulk.

Output
Theoretical density: 9.328 g/cm3
Volume: 201.3 Å³ per cell
Magnetization: 0.00 μB/atom
Total DFT energy (no corrections): -4.40 eV/atom

Unit cell a=3.993 b=7.613 c=7.613 alpha=119.55 beta=90.00 gamma=90.00
Sites, in units of the cell vectors:
Gd: 0.000 0.000 0.000
Gd: 0.000 0.157 0.567
Gd: 0.000 0.567 0.157
Mg: 0.500 0.574 0.830
Mg: 0.500 0.830 0.574
Cd: 0.500 0.323 0.323
Ag: 0.000 0.588 0.588
Pt: 0.500 0.236 0.895
Pt: 0.500 0.895 0.236

Entry 11:
First-principles (PBE-GGA) data for a relaxed Gd3MgCd2AgPt2 crystal, as listed in OQMD via LeMat-Bulk.

Output
Theoretical density: 10.029 g/cm3
Volume: 201.8 Å³ per cell
Magnetization: 0.00 μB/atom
Total DFT energy (no corrections): -4.33 eV/atom

Unit cell a=3.929 b=7.726 c=7.726 alpha=120.62 beta=90.00 gamma=90.00
Sites, in units of the cell vectors:
Gd: 0.000 0.000 0.000
Gd: 0.000 0.402 0.824
Gd: 0.000 0.824 0.402
Mg: 0.500 0.667 0.667
Cd: 0.500 0.152 0.409
Cd: 0.500 0.409 0.152
Ag: 0.000 0.420 0.420
Pt: 0.500 0.061 0.737
Pt: 0.500 0.737 0.061

Entry 12:
First-principles (PBE-GGA) data for a relaxed Nd2GdCd3AgPt2 crystal, as listed in OQMD via LeMat-Bulk.

Output
Theoretical density: 10.156 g/cm3
Volume: 209.4 Å³ per cell
Formation energy from the elements: -16.60 kcal/mol of atoms
Magnetization: 0.00 μB/atom
Total DFT energy (no corrections): -4.25 eV/atom

Unit cell a=3.957 b=7.808 c=7.808 alpha=119.75 beta=90.00 gamma=90.00
Sites, in units of the cell vectors:
Nd: 0.000 0.207 0.793
Nd: 0.000 0.793 0.207
Gd: 0.000 0.379 0.379
Cd: 0.500 0.053 0.053
Cd: 0.500 0.535 0.792
Cd: 0.500 0.792 0.535
Ag: 0.000 0.791 0.791
Pt: 0.500 0.131 0.459
Pt: 0.500 0.459 0.131